DFT (PBE) results for a relaxed YHf2Ga crystal.

Summary:
The total magnetic moment comes out at 0.00 Bohr magnetons per cell. The energy of formation comes out at 0.238 eV per atom. Its space group is I-42d, No. 122.

Cell lengths 6.4456, 6.4456, 6.4456 Å; angles 101.89, 101.89, 126.00 degrees
With the nearest neighbours (Å) after each atom.
Positions (direct):
Y  0.0000  0.0000  0.0000  2 Ga 2.93, 4 Hf 3.22
Y  0.7500  0.2500  0.5000  2 Ga 2.93, 4 Hf 3.22
Hf  0.1700  0.6250  0.0450  2 Ga 2.73, 2 Hf 3.02
Hf  0.3750  0.4200  0.5450  2 Ga 2.73, 2 Hf 3.02
Hf  0.5800  0.1250  0.9550  2 Ga 2.73, 2 Hf 3.02
Hf  0.8750  0.8300  0.4550  2 Ga 2.73, 2 Hf 3.02
Ga  0.2500  0.7500  0.5000  4 Hf 2.73, 2 Y 2.93
Ga  0.5000  0.5000  0.0000  4 Hf 2.73, 2 Y 2.93

***

DFT (PBE) results for a relaxed YHfGa3 crystal.

Summary:
The total magnetic moment comes out at 0.00 Bohr magnetons per cell. The energy of formation comes out at 0.117 eV per atom. Its space group is Pm-3m, No. 221.

Cell lengths 5.0462, 5.0462, 5.0462 Å; angles 90.00, 90.00, 90.00 degrees
With the nearest neighbours (Å) after each atom.
Positions (direct):
Y  0.0000  0.0000  0.0000  12 Ga 3.57
Hf  0.5000  0.5000  0.5000  6 Ga 2.52
Ga  0.0000  0.5000  0.5000  2 Hf 2.52
Ga  0.5000  0.0000  0.5000  2 Hf 2.52
Ga  0.5000  0.5000  0.0000  2 Hf 2.52

***

DFT (PBE) results for a relaxed YHfGa6 crystal.

Summary:
The total magnetic moment comes out at 0.00 Bohr magnetons per cell. The energy of formation comes out at -0.451 eV per atom. Its space group is P4/mmm, No. 123.

Cell lengths 4.2061, 4.2061, 8.3524 Å; angles 90.00, 90.00, 90.00 degrees
With the nearest neighbours (Å) after each atom.
Positions (direct):
Y  0.0000  0.0000  0.0000  12 Ga 2.97-3.02
Hf  0.0000  0.0000  0.5000  12 Ga 2.91-2.97
Ga  0.0000  0.5000  0.2592  2 Hf 2.91, 8 Ga 2.91-3.02, 2 Y 3.02
Ga  0.0000  0.5000  0.7408  2 Hf 2.91, 8 Ga 2.91-3.02, 2 Y 3.02
Ga  0.5000  0.0000  0.2592  2 Hf 2.91, 8 Ga 2.91-3.02, 2 Y 3.02
Ga  0.5000  0.0000  0.7408  2 Hf 2.91, 8 Ga 2.91-3.02, 2 Y 3.02
Ga  0.5000  0.5000  0.0000  4 Y 2.97, 8 Ga 3.02
Ga  0.5000  0.5000  0.5000  8 Ga 2.91, 4 Hf 2.97

***

DFT (PBE) results for a relaxed YHf2Ga2 crystal.

Summary:
The total magnetic moment comes out at 1.09 Bohr magnetons per cell. The energy of formation comes out at -0.228 eV per atom. Its space group is P4/mbm, No. 127.

Cell lengths 8.3432, 8.3432, 3.0215 Å; angles 90.00, 90.00, 90.00 degrees
With the nearest neighbours (Å) after each atom.
Positions (direct):
Y  0.0000  0.0000  0.0000  2 Y 3.02, 4 Hf 3.29
Y  0.5000  0.5000  0.0000  2 Y 3.02, 4 Hf 3.29
Hf  0.1258  0.3742  0.0000  6 Ga 2.84-2.92, 3 Hf 2.97-3.02
Hf  0.3742  0.8742  0.0000  6 Ga 2.84-2.92, 3 Hf 2.97-3.02
Hf  0.6258  0.1258  0.0000  6 Ga 2.84-2.92, 3 Hf 2.97-3.02
Hf  0.8742  0.6258  0.0000  6 Ga 2.84-2.92, 3 Hf 2.97-3.02
Ga  0.1706  0.6706  0.5000  6 Hf 2.84-2.92, 2 Ga 3.02
Ga  0.3294  0.1706  0.5000  6 Hf 2.84-2.92, 2 Ga 3.02
Ga  0.6706  0.8294  0.5000  6 Hf 2.84-2.92, 2 Ga 3.02
Ga  0.8294  0.3294  0.5000  6 Hf 2.84-2.92, 2 Ga 3.02

***

DFT (PBE) results for a relaxed YHf2Ga2 crystal.

Summary:
The total magnetic moment comes out at 0.00 Bohr magnetons per cell. The energy of formation comes out at -0.376 eV per atom. Its space group is P4/mbm, No. 127.

Cell lengths 7.7711, 7.7711, 3.4627 Å; angles 90.00, 90.00, 90.00 degrees
With the nearest neighbours (Å) after each atom.
Positions (direct):
Y  0.0000  0.0000  0.0000  4 Ga 3.10, 8 Hf 3.35, 2 Y 3.46
Y  0.5000  0.5000  0.0000  4 Ga 3.10, 8 Hf 3.35, 2 Y 3.46
Hf  0.1764  0.3236  0.5000  6 Ga 2.83-2.92
Hf  0.3236  0.8236  0.5000  6 Ga 2.83-2.92
Hf  0.6764  0.1764  0.5000  6 Ga 2.83-2.92
Hf  0.8236  0.6764  0.5000  6 Ga 2.83-2.92
Ga  0.1202  0.6202  0.0000  1 Ga 2.64, 6 Hf 2.83-2.92
Ga  0.3798  0.1202  0.0000  1 Ga 2.64, 6 Hf 2.83-2.92
Ga  0.6202  0.8798  0.0000  1 Ga 2.64, 6 Hf 2.83-2.92
Ga  0.8798  0.3798  0.0000  1 Ga 2.64, 6 Hf 2.83-2.92

***

DFT (PBE) results for a relaxed YHfZnGa crystal.

Summary:
The total magnetic moment comes out at 0.00 Bohr magnetons per cell. The energy of formation comes out at -0.329 eV per atom. Its space group is F-43m, No. 216.

Cell lengths 4.8568, 4.8568, 4.8568 Å; angles 60.00, 60.00, 60.00 degrees
With the nearest neighbours (Å) after each atom.
Positions (direct):
Y  0.0000  0.0000  0.0000  4 Zn 2.97, 4 Ga 2.97
Hf  0.5000  0.5000  0.5000  4 Ga 2.97, 4 Zn 2.97
Zn  0.2500  0.2500  0.2500  4 Hf 2.97, 4 Y 2.97
Ga  0.7500  0.7500  0.7500  4 Hf 2.97, 4 Y 2.97

***

DFT (PBE) results for a relaxed HfZn3Ga crystal.

Summary:
The total magnetic moment comes out at 0.00 Bohr magnetons per cell. The energy of formation comes out at -0.078 eV per atom. Its space group is Cmmm, No. 65.

Cell lengths 12.5251, 12.5251, 3.2334 Å; angles 90.00, 90.00, 160.37 degrees
With the nearest neighbours (Å) after each atom.
Positions (direct):
Hf  0.1708  0.8292  0.0000  4 Ga 2.87, 8 Zn 2.97-3.21
Hf  0.8292  0.1708  0.0000  4 Ga 2.87, 8 Zn 2.97-3.21
Zn  0.0585  0.9415  0.5000  5 Zn 2.69-2.89, 2 Ga 2.75
Zn  0.2718  0.7282  0.5000  2 Zn 2.39, 1 Ga 2.45
Zn  0.4513  0.5487  0.0000  5 Zn 2.40-2.69, 2 Ga 2.56
Zn  0.5487  0.4513  0.0000  5 Zn 2.40-2.69, 2 Ga 2.56
Zn  0.7282  0.2718  0.5000  2 Zn 2.39, 1 Ga 2.45
Zn  0.9415  0.0585  0.5000  5 Zn 2.69-2.89, 2 Ga 2.75
Ga  0.3711  0.6289  0.5000  3 Zn 2.45-2.56
Ga  0.6289  0.3711  0.5000  3 Zn 2.45-2.56

***

DFT (PBE) results for a relaxed HfZnGa2 crystal.

Summary:
The total magnetic moment comes out at 0.00 Bohr magnetons per cell. The energy of formation comes out at -0.074 eV per atom. Its space group is I-42d, No. 122.

Cell lengths 5.8100, 5.8100, 5.8100 Å; angles 103.66, 103.66, 121.86 degrees
With the nearest neighbours (Å) after each atom.
Positions (direct):
Hf  0.0000  0.0000  0.0000  4 Ga 2.81, 2 Zn 2.82
Hf  0.7500  0.2500  0.5000  4 Ga 2.81, 2 Zn 2.82
Zn  0.2500  0.7500  0.5000  4 Ga 2.48
Zn  0.5000  0.5000  0.0000  4 Ga 2.48
Ga  0.1587  0.6250  0.0337  2 Zn 2.48
Ga  0.3750  0.4087  0.5337  2 Zn 2.48
Ga  0.5913  0.1250  0.9663  2 Zn 2.48
Ga  0.8750  0.8413  0.4663  2 Zn 2.48

***

DFT (PBE) results for a relaxed Hf3Zn3Ga2 crystal.

Summary:
The total magnetic moment comes out at 0.00 Bohr magnetons per cell. The energy of formation comes out at -0.314 eV per atom. Its space group is Cmcm, No. 63.

Cell lengths 5.4219, 5.4219, 13.7250 Å; angles 90.00, 90.00, 136.09 degrees
With the nearest neighbours (Å) after each atom.
Positions (direct):
Hf  0.0717  0.9283  0.6193  6 Zn 2.77-2.98, 3 Ga 2.88-2.96
Hf  0.0717  0.9283  0.8807  6 Zn 2.77-2.98, 3 Ga 2.88-2.96
Hf  0.3510  0.6490  0.7500  5 Zn 2.80-3.02, 4 Ga 2.89
Hf  0.6490  0.3510  0.2500  5 Zn 2.80-3.02, 4 Ga 2.89
Hf  0.9283  0.0717  0.1193  6 Zn 2.77-2.98, 3 Ga 2.88-2.96
Hf  0.9283  0.0717  0.3807  6 Zn 2.77-2.98, 3 Ga 2.88-2.96
Zn  0.3709  0.6291  0.2500  2 Ga 2.51, 5 Hf 2.77-2.80
Zn  0.3878  0.6122  0.5371  3 Ga 2.47-2.64, 1 Zn 2.48
Zn  0.3878  0.6122  0.9629  3 Ga 2.47-2.64, 1 Zn 2.48
Zn  0.6122  0.3878  0.0371  3 Ga 2.47-2.64, 1 Zn 2.48
Zn  0.6122  0.3878  0.4629  3 Ga 2.47-2.64, 1 Zn 2.48
Zn  0.6291  0.3709  0.7500  2 Ga 2.51, 5 Hf 2.77-2.80
Ga  0.2145  0.7855  0.1076  4 Zn 2.47-2.64
Ga  0.2145  0.7855  0.3924  4 Zn 2.47-2.64
Ga  0.7855  0.2145  0.6076  4 Zn 2.47-2.64
Ga  0.7855  0.2145  0.8924  4 Zn 2.47-2.64

***

DFT (PBE) results for a relaxed Hf2Zn16Ga crystal.

Summary:
The total magnetic moment comes out at 0.00 Bohr magnetons per cell. The energy of formation comes out at -0.068 eV per atom. Its space group is R3m, No. 160.

Cell lengths 6.6749, 6.6749, 6.6749 Å; angles 83.33, 83.33, 83.33 degrees
With the nearest neighbours (Å) after each atom.
Positions (direct):
Hf  0.0000  0.0000  0.0000  1 Ga 2.97, 12 Zn 3.05-3.31
Hf  0.3323  0.3323  0.3323  16 Zn 3.00-3.33
Zn  0.0222  0.0222  0.4899  8 Zn 2.47-2.71
Zn  0.0222  0.4899  0.0222  8 Zn 2.47-2.71
Zn  0.1681  0.6649  0.6649  9 Zn 2.55-2.69, 1 Ga 2.71
Zn  0.3155  0.3155  0.8273  8 Zn 2.47-2.70
Zn  0.3155  0.8273  0.3155  8 Zn 2.47-2.70
Zn  0.3528  0.6656  0.9784  8 Zn 2.55-2.78
Zn  0.3528  0.9784  0.6656  8 Zn 2.55-2.78
Zn  0.4899  0.0222  0.0222  8 Zn 2.47-2.71
Zn  0.5661  0.5661  0.5661  1 Ga 2.60, 6 Zn 2.69-2.82
Zn  0.6649  0.1681  0.6649  9 Zn 2.55-2.69, 1 Ga 2.71
Zn  0.6649  0.6649  0.1681  9 Zn 2.55-2.69, 1 Ga 2.71
Zn  0.6656  0.3528  0.9784  8 Zn 2.55-2.78
Zn  0.6656  0.9784  0.3528  8 Zn 2.55-2.78
Zn  0.8273  0.3155  0.3155  8 Zn 2.47-2.70
Zn  0.9784  0.3528  0.6656  8 Zn 2.55-2.78
Zn  0.9784  0.6656  0.3528  8 Zn 2.55-2.78
Ga  0.7687  0.7687  0.7687  7 Zn 2.60-2.90

***

DFT (PBE) results for a relaxed Hf3Zn8Ga2 crystal.

Summary:
The total magnetic moment comes out at 0.56 Bohr magnetons per cell. The energy of formation comes out at 0.051 eV per atom. Its space group is R-3m, No. 166.

Cell lengths 10.4924, 10.4924, 10.4924 Å; angles 28.16, 28.16, 28.16 degrees
With the nearest neighbours (Å) after each atom.
Positions (direct):
Hf  0.0000  0.0000  0.0000  6 Ga 3.06, 12 Zn 3.36-3.40
Hf  0.1833  0.1833  0.1833  10 Zn 2.84-2.96, 3 Hf 3.11
Hf  0.8167  0.8167  0.8167  10 Zn 2.84-2.96, 3 Hf 3.11
Zn  0.2299  0.7345  0.7345  4 Zn 2.53-2.58, 1 Ga 2.68
Zn  0.2655  0.2655  0.7701  4 Zn 2.53-2.58, 1 Ga 2.68
Zn  0.2655  0.7701  0.2655  4 Zn 2.53-2.58, 1 Ga 2.68
Zn  0.2772  0.2772  0.2772  1 Ga 2.50
Zn  0.7228  0.7228  0.7228  1 Ga 2.50
Zn  0.7345  0.2299  0.7345  4 Zn 2.53-2.58, 1 Ga 2.68
Zn  0.7345  0.7345  0.2299  4 Zn 2.53-2.58, 1 Ga 2.68
Zn  0.7701  0.2655  0.2655  4 Zn 2.53-2.58, 1 Ga 2.68
Ga  0.3600  0.3600  0.3600  4 Zn 2.50-2.68
Ga  0.6400  0.6400  0.6400  4 Zn 2.50-2.68

***

DFT (PBE) results for a relaxed Hf6Zn5Ga crystal.

Summary:
The total magnetic moment comes out at 0.00 Bohr magnetons per cell. The energy of formation comes out at -0.218 eV per atom. Its space group is Immm, No. 71.

Cell lengths 8.1071, 8.1071, 8.1071 Å; angles 146.43, 131.94, 59.90 degrees
With the nearest neighbours (Å) after each atom.
Positions (direct):
Hf  0.0830  0.3333  0.7497  7 Zn 2.83-2.87, 1 Ga 2.87
Hf  0.2492  0.0000  0.2492  6 Zn 2.86-2.90, 2 Ga 2.87
Hf  0.4164  0.6667  0.7497  7 Zn 2.83-2.87, 1 Ga 2.87
Hf  0.5836  0.3333  0.2503  7 Zn 2.83-2.87, 1 Ga 2.87
Hf  0.7508  0.0000  0.7508  6 Zn 2.86-2.90, 2 Ga 2.87
Hf  0.9170  0.6667  0.2503  7 Zn 2.83-2.87, 1 Ga 2.87
Zn  0.0000  0.5000  0.5000  8 Hf 2.86
Zn  0.1669  0.1669  0.0000  8 Hf 2.86
Zn  0.3306  0.8306  0.5000  8 Hf 2.83-2.90
Zn  0.6694  0.1694  0.5000  8 Hf 2.83-2.90
Zn  0.8331  0.8331  0.0000  8 Hf 2.86
Ga  0.5000  0.5000  0.0000  8 Hf 2.87

***

Question: The highest energy of formation belongs to which entry?
Answer: YHf2Ga